No. 1
## NaHfP2Cl (GGA-PBEsol)

Data for a relaxed NaHfP2Cl crystal.

Unit cell a=4.5052 b=4.7382 c=4.7382 alpha=90.00 beta=90.00 gamma=90.00
Closest atoms and distances in Å follow each position.
Atoms (fractional coordinates):
Na1 0.0000 0.0000 0.0000  2 Cl 2.25, 4 P 2.37
P1 0.0000 0.0000 0.5000  2 Na 2.37
P2 0.0000 0.5000 0.0000  2 Na 2.37
Hf1 0.5000 0.5000 0.5000  8 P 3.27, 4 Cl 3.35
Cl1 0.5000 0.0000 0.0000  2 Na 2.25

Calculated values
Symmetry: No. 123
Uncorrected formation energy (meV/atom): 745
Density of states at the Fermi level (states/eV/cell): 2.7
VASP energy (eV/atom): -4.3542
Crystal system: tetragonal

***

No. 2
## NaHf2SCl (GGA-PBEsol)

Data for a relaxed NaHf2SCl crystal.

Unit cell a=4.7027 b=4.7027 c=5.6322 alpha=90.00 beta=90.00 gamma=90.00
Closest atoms and distances in Å follow each position.
Atoms (fractional coordinates):
Na1 0.0000 0.0000 0.5000  2 S 2.82
S1 0.0000 0.0000 0.0000  4 Hf 2.35
Hf1 0.0000 0.5000 0.0000  2 S 2.35
Hf2 0.5000 0.0000 0.0000  2 S 2.35
Cl1 0.5000 0.5000 0.5000  4 Na 3.33, 8 Hf 3.67

Calculated values
Symmetry: No. 123
Uncorrected formation energy (meV/atom): -6
Density of states at the Fermi level (states/eV/cell): 6.1
VASP energy (eV/atom): -5.7659
Crystal system: tetragonal

***

No. 3
## HfNbSCl2 (GGA-PBEsol)

Data for a relaxed HfNbSCl2 crystal.

Unit cell a=4.7175 b=4.7175 c=4.8303 alpha=90.00 beta=90.00 gamma=90.00
Closest atoms and distances in Å follow each position.
Atoms (fractional coordinates):
Nb1 0.0000 0.0000 0.0000  4 Cl 2.36, 2 S 2.42
Hf1 0.5000 0.5000 0.5000  4 S 3.34, 8 Cl 3.38
S1 0.0000 0.0000 0.5000  2 Nb 2.42
Cl1 0.0000 0.5000 0.0000  2 Nb 2.36
Cl2 0.5000 0.0000 0.0000  2 Nb 2.36

Calculated values
Symmetry: No. 123
Uncorrected formation energy (meV/atom): 110
Density of states at the Fermi level (states/eV/cell): 5.8
VASP energy (eV/atom): -5.8347
Crystal system: tetragonal

***

No. 4
## HfNbS2Cl (GGA-PBEsol)

Data for a relaxed HfNbS2Cl crystal.

Unit cell a=4.7182 b=4.8837 c=4.8837 alpha=90.00 beta=90.00 gamma=90.00
Closest atoms and distances in Å follow each position.
Atoms (fractional coordinates):
Nb1 0.5000 0.5000 0.5000  8 S 3.40, 4 Cl 3.45
Hf1 0.0000 0.0000 0.0000  2 Cl 2.36, 4 S 2.44
S1 0.0000 0.0000 0.5000  2 Hf 2.44
S2 0.0000 0.5000 0.0000  2 Hf 2.44
Cl1 0.5000 0.0000 0.0000  2 Hf 2.36

Calculated values
Symmetry: No. 123
Uncorrected formation energy (meV/atom): -167
Density of states at the Fermi level (states/eV/cell): 5.0
VASP energy (eV/atom): -6.5876
Crystal system: tetragonal

***

No. 5
## Hf2NiRhCl (GGA-PBEsol)

Data for a relaxed Hf2NiRhCl crystal.

Unit cell a=4.4636 b=4.7186 c=4.7186 alpha=90.00 beta=90.00 gamma=90.00
Closest atoms and distances in Å follow each position.
Atoms (fractional coordinates):
Rh1 0.5000 0.0000 0.0000  2 Ni 2.23
Cl1 0.5000 0.5000 0.5000  8 Hf 3.25, 4 Rh 3.34
Hf1 0.0000 0.0000 0.5000  2 Ni 2.36
Hf2 0.0000 0.5000 0.0000  2 Ni 2.36
Ni1 0.0000 0.0000 0.0000  2 Rh 2.23, 4 Hf 2.36

Calculated values
Symmetry: No. 123
Uncorrected formation energy (meV/atom): 407
Density of states at the Fermi level (states/eV/cell): 4.3
VASP energy (eV/atom): -7.0551
Crystal system: tetragonal

***

No. 6
## HfS2ClO (GGA-PBEsol)

Data for a relaxed HfS2ClO crystal.

Unit cell a=4.8787 b=4.8787 c=4.8805 alpha=90.00 beta=90.00 gamma=90.00
Closest atoms and distances in Å follow each position.
Atoms (fractional coordinates):
S1 0.0000 0.5000 0.0000  2 Hf 2.44
S2 0.5000 0.0000 0.0000  2 Hf 2.44
Hf1 0.0000 0.0000 0.0000  4 S 2.44, 2 Cl 2.44
O1 0.5000 0.5000 0.5000  4 Cl 3.45, 8 S 3.45
Cl1 0.0000 0.0000 0.5000  2 Hf 2.44

Calculated values
Symmetry: No. 123
Uncorrected formation energy (meV/atom): -180
Density of states at the Fermi level (states/eV/cell): 4.8
VASP energy (eV/atom): -5.4861
Crystal system: tetragonal

***

Which formula does entry 1 have? NaHfP2Cl

***

Which value of uncorrected formation energy does entry 2 give? -6 meV/atom